{
  "formula": "Mn3Pd5",
  "functional": "SCAN",
  "state": "single point on PBEsol structure",
  "lattice_angstrom": [[3.578, -3.991, 0.000], [3.578, 3.991, 0.000], [0.000, 0.000, 4.010]],
  "species": ["Mn", "Mn", "Mn", "Pd", "Pd", "Pd", "Pd", "Pd"],
  "frac_coords": [[0.000, 0.000, 0.000], [0.275, 0.725, 0.500], [0.725, 0.275, 0.500], [0.000, 0.500, 0.000], [0.225, 0.225, 0.500], [0.500, 0.000, 0.000], [0.500, 0.500, 0.000], [0.775, 0.775, 0.500]],
  "m_tot_mub_per_fu": 13.75,
  "ef_mev_per_atom": -540,
  "dft_energy_ev_per_atom": -27.870,
  "space_group": "Cmmm (65)"
}

***

{
  "formula": "MnPdPt3",
  "functional": "SCAN",
  "state": "single point on PBEsol structure",
  "lattice_angstrom": [[4.736, 0.000, 0.000], [0.000, 4.736, 0.000], [0.000, 0.000, 4.736]],
  "species": ["Mn", "Pd", "Pt", "Pt", "Pt"],
  "frac_coords": [[0.000, 0.000, 0.000], [0.500, 0.500, 0.500], [0.000, 0.500, 0.500], [0.500, 0.000, 0.500], [0.500, 0.500, 0.000]],
  "m_tot_mub_per_fu": 5.86,
  "ef_mev_per_atom": 1266,
  "dft_energy_ev_per_atom": -51.056,
  "space_group": "Pm-3m (221)"
}

***

{
  "formula": "RbMn2Pd",
  "functional": "SCAN",
  "state": "single point on PBEsol structure",
  "lattice_angstrom": [[0.000, 3.386, 3.386], [3.386, 0.000, 3.386], [3.386, 3.386, 0.000]],
  "species": ["Rb", "Mn", "Mn", "Pd"],
  "frac_coords": [[0.000, 0.000, 0.000], [0.250, 0.250, 0.250], [0.750, 0.750, 0.750], [0.500, 0.500, 0.500]],
  "m_tot_mub_per_fu": 8.88,
  "ef_mev_per_atom": 646,
  "dft_energy_ev_per_atom": -21.860,
  "space_group": "Fm-3m (225)"
}

***

{
  "formula": "RbMnTe2Pd",
  "functional": "SCAN",
  "state": "single point on PBEsol structure",
  "lattice_angstrom": [[5.109, 0.000, 0.000], [0.000, 5.109, 0.000], [0.000, 0.000, 5.575]],
  "species": ["Rb", "Mn", "Te", "Te", "Pd"],
  "frac_coords": [[0.000, 0.000, 0.000], [0.000, 0.000, 0.500], [0.000, 0.500, 0.500], [0.500, 0.000, 0.500], [0.500, 0.500, 0.000]],
  "m_tot_mub_per_fu": 4.71,
  "dft_energy_ev_per_atom": -28.961,
  "space_group": "P4/mmm (123)"
}

***

{
  "formula": "MnRePd3",
  "functional": "SCAN",
  "state": "single point on PBEsol structure",
  "lattice_angstrom": [[4.470, 0.000, 0.000], [0.000, 4.470, 0.000], [0.000, 0.000, 4.470]],
  "species": ["Mn", "Re", "Pd", "Pd", "Pd"],
  "frac_coords": [[0.000, 0.000, 0.000], [0.500, 0.500, 0.500], [0.000, 0.000, 0.500], [0.000, 0.500, 0.000], [0.500, 0.000, 0.000]],
  "m_tot_mub_per_fu": 8.41,
  "ef_mev_per_atom": 1393,
  "dft_energy_ev_per_atom": -36.142,
  "space_group": "Pm-3m (221)"
}

***

{
  "formula": "MnPd3Ru",
  "functional": "SCAN",
  "state": "single point on PBEsol structure",
  "lattice_angstrom": [[4.460, 0.000, 0.000], [0.000, 4.460, 0.000], [0.000, 0.000, 4.460]],
  "species": ["Mn", "Pd", "Pd", "Pd", "Ru"],
  "frac_coords": [[0.000, 0.000, 0.000], [0.000, 0.000, 0.500], [0.000, 0.500, 0.000], [0.500, 0.000, 0.000], [0.500, 0.500, 0.500]],
  "m_tot_mub_per_fu": 6.86,
  "ef_mev_per_atom": 1107,
  "dft_energy_ev_per_atom": -29.174,
  "space_group": "Pm-3m (221)"
}